[1]
Below is a geometry-optimized BaSmPt4 structure, with properties calculated at the GGA-PBE level.

Cell lengths 5.5934, 5.5934, 5.5934 Å; angles 60.00, 60.00, 60.00 degrees
Last column: nearest neighbours and their distance in Å.
Atoms (fractional coordinates):
Sm1 0.0000 0.0000 0.0000  12 Pt 3.28, 4 Ba 3.43
Pt1 0.6254 0.6254 0.1238  6 Pt 2.79-2.81
Pt2 0.6254 0.1238 0.6254  6 Pt 2.79-2.81
Pt3 0.6254 0.6254 0.6254  6 Pt 2.79-2.81
Pt4 0.1238 0.6254 0.6254  6 Pt 2.79-2.81
Ba1 0.2500 0.2500 0.2500  12 Pt 3.28, 4 Sm 3.43

Calculated formation energy = -0.85 eV/atom
Magnetic moment = 0.00 μB per formula unit


[2]
Below is a geometry-optimized LiLa2P2N6 structure, with properties calculated at the GGA-PBE level.

Cell lengths 5.5632, 5.5632, 6.4710 Å; angles 64.54, 64.54, 60.00 degrees
Last column: nearest neighbours and their distance in Å.
Atoms (fractional coordinates):
Li1 0.0000 0.0000 0.0000  6 N 2.22
La1 0.7896 0.7896 0.6314  9 N 2.62-2.84
La2 0.2104 0.2104 0.3686  9 N 2.62-2.84
P1 0.4210 0.4210 0.7369  3 N 1.58
P2 0.5790 0.5790 0.2631  3 N 1.58
N1 0.7416 0.7416 0.2662  1 P 1.58
N2 0.2506 0.7416 0.2662  1 P 1.58
N3 0.7416 0.2506 0.2662  1 P 1.58
N4 0.2584 0.7494 0.7338  1 P 1.58
N5 0.7494 0.2584 0.7338  1 P 1.58
N6 0.2584 0.2584 0.7338  1 P 1.58

Raw formation energy = -0.667 eV per atom
Magnetic moment = 0.00 μB per formula unit


[3]
Below is a geometry-optimized Ni2SbSe2 structure, with properties calculated at the GGA-PBE level.

Cell lengths 3.6700, 3.6700, 8.3796 Å; angles 77.35, 77.35, 60.00 degrees
Last column: nearest neighbours and their distance in Å.
Atoms (fractional coordinates):
Ni1 0.5952 0.5952 0.2143  3 Se 2.33
Ni2 0.4048 0.4048 0.7857  3 Se 2.33
Sb1 0.0000 0.0000 0.0000  6 Ni 2.74
Se1 0.2218 0.2218 0.3345  3 Ni 2.33
Se2 0.7782 0.7782 0.6655  3 Ni 2.33

Raw formation energy = -0.166 eV per atom
Magnetic moment = 0.00 μB per formula unit


[4]
Below is a geometry-optimized Hf3ScZn4 structure, with properties calculated at the GGA-PBE level.

Cell lengths 3.3108, 4.6794, 9.3735 Å; angles 90.00, 90.00, 90.00 degrees
Last column: nearest neighbours and their distance in Å.
Atoms (fractional coordinates):
Sc1 0.5000 0.5000 0.0000  8 Zn 2.86-2.87
Zn1 0.0000 0.0000 0.5000  8 Hf 2.87
Zn2 0.0000 0.5000 0.7510  2 Sc 2.86, 6 Hf 2.87-2.88
Zn3 0.0000 0.0000 0.0000  4 Sc 2.87, 4 Hf 2.87
Zn4 0.0000 0.5000 0.2490  2 Sc 2.86, 6 Hf 2.87-2.88
Hf1 0.5000 0.0000 0.2505  8 Zn 2.87
Hf2 0.5000 0.5000 0.5000  8 Zn 2.87-2.88
Hf3 0.5000 0.0000 0.7495  8 Zn 2.87

Calculated formation energy = -0.23 eV/atom
Magnetic moment = 0.00 μB per formula unit


[5]
Below is a geometry-optimized LiIn structure, with properties calculated at the GGA-PBE level.

Cell lengths 3.0845, 5.0158, 5.7727 Å; angles 90.00, 90.00, 90.00 degrees
Last column: nearest neighbours and their distance in Å.
Atoms (fractional coordinates):
Li1 0.0000 0.5000 0.5000  6 In 2.89-2.94, 2 Li 3.08
Li2 0.5000 0.0000 0.0000  6 In 2.89-2.94, 2 Li 3.08
In1 0.5000 0.0000 0.5000  6 Li 2.89-2.94, 2 In 3.08
In2 0.0000 0.5000 0.0000  6 Li 2.89-2.94, 2 In 3.08

Calculated formation energy = -0.08 eV/atom
Magnetic moment = 0.00 μB per formula unit


[6]
Below is a geometry-optimized SnGeI4 structure, with properties calculated at the GGA-PBE level.

Cell lengths 4.4145, 8.8302, 7.7412 Å; angles 116.08, 90.00, 104.48 degrees
Last column: nearest neighbours and their distance in Å.
Atoms (fractional coordinates):
Sn1 0.5000 0.0000 0.5000  6 I 3.20-3.21
Ge1 0.0000 0.0000 0.0000  6 I 3.05-3.06
I1 0.3849 0.7698 0.0375  2 Ge 3.06, 1 Sn 3.21
I2 0.1198 0.2396 0.4355  1 Ge 3.05, 2 Sn 3.20
I3 0.6151 0.2302 0.9625  2 Ge 3.06, 1 Sn 3.21
I4 0.8802 0.7604 0.5645  1 Ge 3.05, 2 Sn 3.20

Raw formation energy = -0.412 eV per atom
Magnetic moment = 0.00 μB per formula unit


- magnetic moment of number 2 (LiLa2P2N6)?
  0.00 μB per formula unit